# NiBi2AuO, optimized geometry, DFT PBE with a Hubbard U
data_NiBi2AuO
_cell_length_a 5.386
_cell_length_b 5.386
_cell_length_c 3.489
_cell_angle_alpha 90.00
_cell_angle_beta 90.00
_cell_angle_gamma 90.00
_symmetry_space_group_name_H-M 'P 4/m m m'
_symmetry_Int_Tables_number 123
_symmetry_space_group_name_Hall '-P 4 2'
loop_
_atom_site_label
_atom_site_type_symbol
_atom_site_fract_x
_atom_site_fract_y
_atom_site_fract_z
Ni1 Ni 0.000 0.000 0.000
Bi1 Bi 0.000 0.500 0.000
Au1 Au 0.500 0.500 0.500
O1 O 0.000 0.000 0.500
# * ρ: 11.31 g/cm³
# * calculated volume: 20.25 Å³/atom
# * total energy: -18.427 eV for the cell shown